Version i
Here is a relaxed structure of TlSbI2Cl from the Alexandria database. Energies are from PBE.

Lattice parameters (Å, degrees): 5.914 5.914 6.057 90.00 90.00 90.00
Atoms (fractional coordinates):
Tl 0.000 0.000 0.000
Sb 0.000 0.000 0.500
I 0.000 0.500 0.000
I 0.500 0.000 0.000
Cl 0.500 0.500 0.500



Version ii
Here is a relaxed structure of TlSbI2Cl from the Alexandria database. Energies are from PBE.

Lattice parameters (Å, degrees): 6.841 6.841 4.920 90.00 90.00 90.00
Atoms (fractional coordinates):
Tl 0.000 0.000 0.000
Sb 0.500 0.500 0.000
I 0.000 0.500 0.500
I 0.500 0.000 0.500
Cl 0.500 0.500 0.500



Version iii
Here is a relaxed structure of TlSbI2Cl from the Alexandria database. Energies are from PBE.

Lattice parameters (Å, degrees): 6.158 6.158 5.445 90.00 90.00 90.00
Atoms (fractional coordinates):
Tl 0.000 0.000 0.000
Sb 0.500 0.500 0.500
I 0.000 0.500 0.500
I 0.500 0.000 0.500
Cl 0.500 0.500 0.000



Q: What are the energies relative to the best structure? A: version i 77.9; version ii 55.8; version iii 0.0, in kJ/mol of atoms.